The following is a DFT calculation (GGA-PBE) of an optimized crystal structure of K2TaS.

## Properties
The value obtained for the size of the total moment is 6.00 μB per cell. As for the volume: 180 Å³/f.u. The uncorrected formation energy is 26.2 kJ per mole of atoms.

Geometry as extended XYZ:
```
8
Lattice="12.339 0.000 0.000 0.000 12.339 0.000 6.170 6.170 2.361" Properties=species:S:1:pos:R:3 pbc="T T T"
K 7.025 3.085 0.590
K 5.314 9.254 0.590
K 9.254 11.484 1.771
K 15.424 13.195 1.771
S 6.170 6.170 0.000
S 6.170 12.339 1.181
Ta 0.000 0.000 0.000
Ta 12.339 6.170 1.181
```